A relaxed structure of TlFeCu4. Source: Alexandria via LeMat-Bulk, functional PBE.

Cell and atoms, written as POSCAR:
```
TlFeCu4
1.0
0.000 3.501 3.501
3.501 0.000 3.501
3.501 3.501 0.000
Tl Fe Cu
1 1 4
Direct
0.000 0.000 0.000
0.750 0.750 0.750
0.376 0.376 0.376
0.376 0.376 0.872
0.376 0.872 0.376
0.872 0.376 0.376
```

Computed properties:
energy of formation from the pure elements	0.31	eV per atom
Fermi-level density of states	1.1061	states/eV/atom
DFT total energy	-25.4	eV per cell

A relaxed structure of Tl2FeCu. Source: Alexandria via LeMat-Bulk, functional PBE.

Cell and atoms, written as POSCAR:
```
Tl2FeCu
1.0
4.360 -1.564 0.000
4.360 1.564 0.000
-1.308 0.000 5.819
Tl Fe Cu
2 1 1
Direct
0.248 0.248 0.249
0.752 0.752 0.751
0.000 0.000 0.500
0.500 0.500 0.000
```

Computed properties:
energy of formation from the pure elements	0.60	eV per atom
Fermi-level density of states	0.7500	states/eV/atom
DFT total energy	-14.9	eV per cell

A relaxed structure of TlFeCu3. Source: Alexandria via LeMat-Bulk, functional PBE.

Cell and atoms, written as POSCAR:
```
TlFeCu3
1.0
4.578 0.000 0.000
0.000 4.578 0.000
0.000 0.000 4.578
Tl Fe Cu
1 1 3
Direct
0.000 0.000 0.000
0.500 0.500 0.500
0.000 0.500 0.500
0.500 0.000 0.500
0.500 0.500 0.000
```

Computed properties:
energy of formation from the pure elements	0.85	eV per atom
Fermi-level density of states	0.6618	states/eV/atom
DFT total energy	-18.9	eV per cell